Compound: Tm3PaNi8
Source: the Alexandria database
Functional: PBE
Structure: optimized geometry

```
Tm3PaNi8
1.0
-0.5707 3.8106 3.2450
2.0982 -4.3171 1.5285
7.4300 2.8775 -2.0723
Ni Tm Pa
8 3 1
direct
0.1680 0.8320 0.2533
0.3333 0.6667 0.9977
0.3333 0.6667 0.5009
0.4998 0.9995 0.7474
0.6640 0.8320 0.2533
0.0005 0.5002 0.7474
0.4998 0.5002 0.7474
0.1680 0.3360 0.2533
0.6667 0.3333 0.0625
0.0000 0.0000 0.9436
0.6667 0.3333 0.4324
0.0000 0.0000 0.5608
```

Summary:
VASP energy   -74.4 eV for the cell shown
Total magnetic moment   0.000 μB per atom
E_form   -42.1 kJ per mole of atoms
Space-group type   No. 156